one | First-principles (PBE) data for crystalline Sc5Te2C at its relaxed geometry, as listed in the Alexandria database.

abc: 8.537 10.889 3.642
angles: 90.00 90.00 90.00
Atoms (fractional coordinates):
Sc: 0.000 0.000 0.000
Sc: 0.089 0.305 0.000
Sc: 0.165 0.546 0.500
Sc: 0.335 0.046 0.500
Sc: 0.411 0.805 0.000
Sc: 0.500 0.500 0.000
Sc: 0.589 0.195 0.000
Sc: 0.665 0.954 0.500
Sc: 0.835 0.454 0.500
Sc: 0.911 0.695 0.000
Te: 0.138 0.817 0.500
Te: 0.362 0.317 0.500
Te: 0.638 0.683 0.500
Te: 0.862 0.183 0.500
C: 0.000 0.500 0.000
C: 0.500 0.000 0.000

**DOS(E_F)**: 6.2 states/eV/f.u.
**Space group**: Pbam, No. 55

two | First-principles (PBE) data for crystalline Sc5Te2C at its relaxed geometry, as listed in the Alexandria database.

abc: 7.941 7.941 12.435
angles: 90.00 90.00 147.97
Atoms (fractional coordinates):
Sc: 0.113 0.887 0.625
Sc: 0.113 0.887 0.875
Sc: 0.257 0.743 0.250
Sc: 0.302 0.698 0.576
Sc: 0.302 0.698 0.924
Sc: 0.698 0.302 0.076
Sc: 0.698 0.302 0.424
Sc: 0.743 0.257 0.750
Sc: 0.887 0.113 0.125
Sc: 0.887 0.113 0.375
Te: 0.081 0.919 0.112
Te: 0.081 0.919 0.388
Te: 0.919 0.081 0.612
Te: 0.919 0.081 0.888
C: 0.217 0.783 0.750
C: 0.783 0.217 0.250

**DOS(E_F)**: 6.6 states/eV/f.u.
**Space group**: Cmcm, No. 63

Which of them is most stable? Easy: one.

one | First-principles (PBE) data for crystalline ScTeC3 at its relaxed geometry, as listed in the Alexandria database.

abc: 4.302 4.302 4.302
angles: 90.00 90.00 90.00
Atoms (fractional coordinates):
Sc: 0.000 0.000 0.000
Te: 0.500 0.500 0.500
C: 0.000 0.000 0.500
C: 0.000 0.500 0.000
C: 0.500 0.000 0.000

**DOS(E_F)**: 3.4 states/eV/f.u.
**Space group**: Pm-3m, No. 221

two | First-principles (PBE) data for crystalline ScTeC3 at its relaxed geometry, as listed in the Alexandria database.

abc: 4.150 4.150 4.150
angles: 90.00 90.00 90.00
Atoms (fractional coordinates):
Sc: 0.000 0.000 0.000
Te: 0.500 0.500 0.500
C: 0.000 0.500 0.500
C: 0.500 0.000 0.500
C: 0.500 0.500 0.000

**DOS(E_F)**: 4.0 states/eV/f.u.
**Space group**: Pm-3m, No. 221

Which of them is most stable? Easy: two.

one | First-principles (PBE) data for crystalline ThScC at its relaxed geometry, as listed in the Alexandria database.

abc: 3.482 3.482 6.232
angles: 90.00 90.00 120.00
Atoms (fractional coordinates):
Th: 0.000 0.000 0.000
Sc: 0.333 0.667 0.426
C: 0.667 0.333 0.250

**DOS(E_F)**: 2.3 states/eV/f.u.
**Space group**: P3m1, No. 156

two | First-principles (PBE) data for crystalline ThScC at its relaxed geometry, as listed in the Alexandria database.

abc: 6.504 6.504 6.733
angles: 117.26 117.26 29.80
Atoms (fractional coordinates):
Th: 0.020 0.020 0.249
Th: 0.980 0.980 0.751
Sc: 0.267 0.267 0.204
Sc: 0.733 0.733 0.796
C: 0.369 0.369 0.996
C: 0.631 0.631 0.004

**DOS(E_F)**: 2.8 states/eV/f.u.
**Space group**: C2/m, No. 12

Which of them is most stable? Easy: one.

one | First-principles (PBE) data for crystalline ThScC2 at its relaxed geometry, as listed in the Alexandria database.

abc: 5.708 5.708 5.708
angles: 37.86 37.86 37.86
Atoms (fractional coordinates):
Th: 0.000 0.000 0.000
Sc: 0.176 0.176 0.176
C: 0.459 0.459 0.459
C: 0.556 0.556 0.556

**DOS(E_F)**: 3.2 states/eV/f.u.
**Space group**: R3m, No. 160

two | First-principles (PBE) data for crystalline ThScC2 at its relaxed geometry, as listed in the Alexandria database.

abc: 6.060 6.060 6.060
angles: 34.72 34.72 34.72
Atoms (fractional coordinates):
Th: 0.000 0.000 0.000
Sc: 0.500 0.500 0.500
C: 0.244 0.244 0.244
C: 0.756 0.756 0.756

**DOS(E_F)**: 5.2 states/eV/f.u.
**Space group**: R-3m, No. 166

Which of them is most stable? Easy: two.

one | First-principles (PBE) data for crystalline ScTi3C at its relaxed geometry, as listed in the Alexandria database.

abc: 4.549 4.549 4.549
angles: 90.00 90.00 90.00
Atoms (fractional coordinates):
Sc: 0.000 0.000 0.000
Ti: 0.000 0.000 0.500
Ti: 0.000 0.500 0.000
Ti: 0.500 0.000 0.000
C: 0.500 0.500 0.500

**DOS(E_F)**: 6.3 states/eV/f.u.
**Space group**: Pm-3m, No. 221

two | First-principles (PBE) data for crystalline ScTi3C at its relaxed geometry, as listed in the Alexandria database.

abc: 4.312 4.312 4.312
angles: 90.00 90.00 90.00
Atoms (fractional coordinates):
Sc: 0.000 0.000 0.000
Ti: 0.000 0.500 0.500
Ti: 0.500 0.000 0.500
Ti: 0.500 0.500 0.000
C: 0.500 0.500 0.500

**DOS(E_F)**: 7.4 states/eV/f.u.
**Space group**: Pm-3m, No. 221

Which of them is most stable? Easy: two.

one | First-principles (PBE) data for crystalline ScTi2C2 at its relaxed geometry, as listed in the Alexandria database.

abc: 5.534 5.534 5.408
angles: 111.48 111.48 99.21
Atoms (fractional coordinates):
Sc: 0.130 0.870 0.750
Sc: 0.870 0.130 0.250
Ti: 0.231 0.465 0.974
Ti: 0.465 0.231 0.474
Ti: 0.535 0.769 0.526
Ti: 0.769 0.535 0.026
C: 0.162 0.838 0.250
C: 0.402 0.598 0.750
C: 0.598 0.402 0.250
C: 0.838 0.162 0.750

**DOS(E_F)**: 3.7 states/eV/f.u.
**Space group**: C2/c, No. 15

two | First-principles (PBE) data for crystalline ScTi2C2 at its relaxed geometry, as listed in the Alexandria database.

abc: 5.414 5.414 5.414
angles: 142.55 142.55 54.00
Atoms (fractional coordinates):
Sc: 0.000 0.000 0.000
Ti: 0.250 0.750 0.500
Ti: 0.750 0.250 0.500
C: 0.422 0.422 0.000
C: 0.578 0.578 0.000

**DOS(E_F)**: 6.1 states/eV/f.u.
**Space group**: I4/mmm, No. 139

three | First-principles (PBE) data for crystalline ScTi2C2 at its relaxed geometry, as listed in the Alexandria database.

abc: 6.436 6.436 2.786
angles: 90.00 90.00 90.00
Atoms (fractional coordinates):
Sc: 0.000 0.000 0.000
Sc: 0.500 0.500 0.000
Ti: 0.133 0.367 0.000
Ti: 0.367 0.867 0.000
Ti: 0.633 0.133 0.000
Ti: 0.867 0.633 0.000
C: 0.170 0.670 0.500
C: 0.330 0.170 0.500
C: 0.670 0.830 0.500
C: 0.830 0.330 0.500

**DOS(E_F)**: 4.7 states/eV/f.u.
**Space group**: P4/mbm, No. 127

four | First-principles (PBE) data for crystalline ScTi2C2 at its relaxed geometry, as listed in the Alexandria database.

abc: 5.132 5.132 5.132
angles: 134.12 134.12 66.91
Atoms (fractional coordinates):
Sc: 0.000 0.000 0.000
Ti: 0.318 0.318 0.000
Ti: 0.682 0.682 0.000
C: 0.250 0.750 0.500
C: 0.750 0.250 0.500

**DOS(E_F)**: 4.2 states/eV/f.u.
**Space group**: I4/mmm, No. 139

Which of them is most stable? Easy: one.

one | First-principles (PBE) data for crystalline ScTiC3 at its relaxed geometry, as listed in the Alexandria database.

abc: 3.971 3.971 3.971
angles: 90.00 90.00 90.00
Atoms (fractional coordinates):
Sc: 0.000 0.000 0.000
Ti: 0.500 0.500 0.500
C: 0.000 0.500 0.500
C: 0.500 0.000 0.500
C: 0.500 0.500 0.000

**DOS(E_F)**: 3.1 states/eV/f.u.
**Space group**: Pm-3m, No. 221

two | First-principles (PBE) data for crystalline ScTiC3 at its relaxed geometry, as listed in the Alexandria database.

abc: 4.044 4.044 4.044
angles: 90.00 90.00 90.00
Atoms (fractional coordinates):
Sc: 0.000 0.000 0.000
Ti: 0.500 0.500 0.500
C: 0.000 0.000 0.500
C: 0.000 0.500 0.000
C: 0.500 0.000 0.000

**DOS(E_F)**: 3.5 states/eV/f.u.
**Space group**: Pm-3m, No. 221

Which of them is most stable? Easy: one.

one | First-principles (PBE) data for crystalline Sc3TiC at its relaxed geometry, as listed in the Alexandria database.

abc: 4.584 4.584 4.584
angles: 90.00 90.00 90.00
Atoms (fractional coordinates):
Sc: 0.000 0.000 0.500
Sc: 0.000 0.500 0.000
Sc: 0.500 0.000 0.000
Ti: 0.500 0.500 0.500
C: 0.000 0.000 0.000

**DOS(E_F)**: 5.9 states/eV/f.u.
**Space group**: Pm-3m, No. 221

two | First-principles (PBE) data for crystalline Sc3TiC at its relaxed geometry, as listed in the Alexandria database.

abc: 4.810 4.810 4.810
angles: 90.00 90.00 90.00
Atoms (fractional coordinates):
Sc: 0.000 0.000 0.500
Sc: 0.000 0.500 0.000
Sc: 0.500 0.000 0.000
Ti: 0.000 0.000 0.000
C: 0.500 0.500 0.500

**DOS(E_F)**: 4.7 states/eV/f.u.
**Space group**: Pm-3m, No. 221

Which of them is most stable? Easy: one.